[1]
Compound: TbDy2Ge
Source: Alexandria
Functional: GGA-PBE
Structure: optimized geometry

Cell lengths 3.6606, 3.6606, 29.9099 Å; angles 90.00, 90.00, 120.00 degrees
Space group R-3m (No. 166, hexagonal axes)
Symmetry-distinct sites (fractional):
Tb 0.0000 0.0000 0.0000 x3
Dy 0.0000 0.0000 0.2339 x6
Ge 0.0000 0.0000 0.5000 x3

* total magnetic moment: 0.000 μB/f.u.
* crystal system: trigonal
* formation energy from the elements: -0.2204 eV/atom
* theoretical density: 7.99 Mg/m³
* D(E_F): 16.4 states/eV/cell
* polymorph energy (0 for the lowest one): 110 meV per atom

=====

[2]
Compound: TbDyTlGe
Source: Alexandria
Functional: GGA-PBE
Structure: optimized geometry

Cell lengths 7.393, 7.393, 7.393 Å; angles 90.00, 90.00, 90.00 degrees
Space group F-43m (No. 216)
Symmetry-distinct sites (fractional):
Tb 0.000 0.000 0.000 x4
Dy 0.000 0.000 0.500 x4
Tl 0.250 0.250 0.750 x4
Ge 0.250 0.250 0.250 x4

* total magnetic moment: 0.000 μB/f.u.
* crystal system: cubic
* formation energy from the elements: -0.4307 eV/atom
* theoretical density: 9.84 Mg/m³
* D(E_F): 11.9 states/eV/cell

=====

[3]
Compound: TbDyZnGe
Source: Alexandria
Functional: GGA-PBE
Structure: optimized geometry

Cell lengths 4.116, 4.208, 10.894 Å; angles 90.00, 90.00, 90.00 degrees
Space group Amm2 (No. 38)
Symmetry-distinct sites (fractional):
Tb 0.000 0.000 0.000 x2
Dy 0.500 0.000 0.282 x2
Zn 0.500 0.000 0.567 x2
Ge 0.000 0.000 0.719 x2

* total magnetic moment: 0.416 μB/f.u.
* crystal system: orthorhombic
* formation energy from the elements: -0.6201 eV/atom
* theoretical density: 8.09 Mg/m³
* D(E_F): 7.7 states/eV/cell
* polymorph energy (0 for the lowest one): 0 meV per atom

=====

[4]
Compound: TbDyZnGe
Source: Alexandria
Functional: GGA-PBE
Structure: optimized geometry

Cell lengths 7.111, 7.111, 7.111 Å; angles 90.00, 90.00, 90.00 degrees
Space group F-43m (No. 216)
Symmetry-distinct sites (fractional):
Tb 0.000 0.000 0.000 x4
Dy 0.000 0.000 0.500 x4
Zn 0.250 0.250 0.250 x4
Ge 0.250 0.250 0.750 x4

* total magnetic moment: 0.000 μB/f.u.
* crystal system: cubic
* formation energy from the elements: -0.5304 eV/atom
* theoretical density: 8.49 Mg/m³
* D(E_F): 9.5 states/eV/cell
* polymorph energy (0 for the lowest one): 90 meV per atom

=====

[5]
Compound: DyTc4Ge4
Source: Alexandria
Functional: GGA-PBE
Structure: optimized geometry

Cell lengths 8.252, 8.252, 4.781 Å; angles 90.00, 90.00, 90.00 degrees
Space group P4_2/n (No. 86, origin choice 2)
Symmetry-distinct sites (fractional):
Dy 0.250 0.250 0.250 x2
Tc 0.120 0.858 0.669 x8
Ge 0.036 0.896 0.178 x8

* total magnetic moment: 0.000 μB/f.u.
* crystal system: tetragonal
* formation energy from the elements: -0.1358 eV/atom
* theoretical density: 8.62 Mg/m³
* D(E_F): 13.1 states/eV/cell

=====

[6]
Compound: Dy3Tc2Ge7
Source: Alexandria
Functional: GGA-PBE
Structure: optimized geometry

Cell lengths 4.396, 4.268, 13.076 Å; angles 90.00, 99.54, 90.00 degrees
Space group P2/m (No. 10)
Symmetry-distinct sites (fractional):
Dy 0.000 0.000 0.000 x1
Dy 0.317 0.500 0.632 x2
Tc 0.127 0.000 0.254 x2
Ge 0.085 0.500 0.167 x2
Ge 0.221 0.000 0.443 x2
Ge 0.413 0.000 0.827 x2
Ge 0.500 0.500 0.000 x1

* total magnetic moment: 0.000 μB/f.u.
* crystal system: monoclinic
* formation energy from the elements: -0.4854 eV/atom
* theoretical density: 8.18 Mg/m³
* D(E_F): 5.2 states/eV/cell

=====

[7]
Compound: Dy2TcGe2
Source: Alexandria
Functional: GGA-PBE
Structure: optimized geometry

Cell lengths 11.006, 4.235, 10.270 Å; angles 90.00, 118.20, 90.00 degrees
Space group C2/m (No. 12)
Symmetry-distinct sites (fractional):
Dy 0.003 0.000 0.175 x4
Dy 0.185 0.000 0.612 x4
Tc 0.225 0.500 0.869 x4
Ge 0.009 0.500 0.377 x4
Ge 0.142 0.500 0.063 x4

* total magnetic moment: 0.000 μB/f.u.
* crystal system: monoclinic
* formation energy from the elements: -0.6874 eV/atom
* theoretical density: 8.95 Mg/m³
* D(E_F): 11.1 states/eV/cell
* polymorph energy (0 for the lowest one): 0 meV per atom

=====

[8]
Compound: DyTcGe
Source: Alexandria
Functional: GGA-PBE
Structure: optimized geometry

Cell lengths 4.078, 4.078, 14.276 Å; angles 90.00, 90.00, 90.00 degrees
Space group I4/mmm (No. 139)
Symmetry-distinct sites (fractional):
Dy 0.000 0.000 0.160 x4
Tc 0.000 0.500 0.000 x4
Ge 0.000 0.000 0.381 x4

* total magnetic moment: 0.000 μB/f.u.
* crystal system: tetragonal
* formation energy from the elements: -0.5517 eV/atom
* theoretical density: 9.32 Mg/m³
* D(E_F): 13.2 states/eV/cell
* polymorph energy (0 for the lowest one): 0 meV per atom

=====

[9]
Compound: Dy2TcGe3
Source: Alexandria
Functional: GGA-PBE
Structure: optimized geometry

Cell lengths 4.414, 5.538, 10.318 Å; angles 90.00, 90.00, 90.00 degrees
Space group Immm (No. 71)
Symmetry-distinct sites (fractional):
Dy 0.000 0.000 0.183 x4
Tc 0.000 0.000 0.500 x2
Ge 0.000 0.500 0.129 x4
Ge 0.000 0.500 0.500 x2

* total magnetic moment: 0.000 μB/f.u.
* crystal system: orthorhombic
* formation energy from the elements: -0.3571 eV/atom
* theoretical density: 8.44 Mg/m³
* D(E_F): 8.9 states/eV/cell

=====

[10]
Compound: Dy2TcGe2
Source: Alexandria
Functional: GGA-PBE
Structure: optimized geometry

Cell lengths 6.310, 12.036, 6.103 Å; angles 90.00, 90.00, 90.00 degrees
Space group Ibam (No. 72)
Symmetry-distinct sites (fractional):
Dy 0.206 0.145 0.000 x8
Tc 0.000 0.500 0.250 x4
Ge 0.241 0.394 0.000 x8

* total magnetic moment: 0.000 μB/f.u.
* crystal system: orthorhombic
* formation energy from the elements: -0.5158 eV/atom
* theoretical density: 8.14 Mg/m³
* D(E_F): 18.0 states/eV/cell
* polymorph energy (0 for the lowest one): 172 meV per atom

=====

[11]
Compound: DyTc2Ge2
Source: Alexandria
Functional: GGA-PBE
Structure: optimized geometry

Cell lengths 5.559, 10.168, 7.403 Å; angles 90.00, 111.99, 90.00 degrees
Space group C2/c (No. 15)
Symmetry-distinct sites (fractional):
Dy 0.000 0.125 0.250 x4
Tc 0.110 0.375 0.969 x8
Ge 0.000 0.179 0.750 x4
Ge 0.000 0.429 0.250 x4

* total magnetic moment: 0.000 μB/f.u.
* crystal system: monoclinic
* formation energy from the elements: -0.3059 eV/atom
* theoretical density: 8.62 Mg/m³
* D(E_F): 16.2 states/eV/cell
* polymorph energy (0 for the lowest one): 140 meV per atom

=====

[12]
Compound: DyTc6Ge4
Source: Alexandria
Functional: GGA-PBE
Structure: optimized geometry

Cell lengths 6.475, 6.475, 9.555 Å; angles 90.00, 90.00, 90.00 degrees
Space group I-42m (No. 121)
Symmetry-distinct sites (fractional):
Dy 0.000 0.000 0.000 x2
Tc 0.000 0.500 0.000 x4
Tc 0.155 0.155 0.591 x8
Ge 0.224 0.224 0.325 x8

* total magnetic moment: 0.000 μB/f.u.
* crystal system: tetragonal
* formation energy from the elements: 0.0882 eV/atom
* theoretical density: 8.63 Mg/m³
* D(E_F): 18.5 states/eV/cell